Fe3NiAs8 | PBE | optimized geometry

a b c (Å): 2.973 5.266 11.962
angles (deg): 89.98 90.00 90.00
Fractional positions:
Fe 0.500 0.501 0.251
Fe 0.500 0.499 0.749
Fe 0.000 0.000 0.000
Ni 0.000 0.000 0.500
As 0.500 0.318 0.069
As 0.500 0.323 0.571
As 0.500 0.677 0.429
As 0.500 0.682 0.931
As 0.000 0.814 0.179
As 0.000 0.818 0.686
As 0.000 0.182 0.314
As 0.000 0.186 0.821

Properties
The energy of formation is -0.261 eV per atom. The value obtained for the total magnetic moment is 0.83 μB/cell. For the uncorrected energy, the calculation gives -71.5 eV/cell. The volume is 15.61 A^3/atom.

---

PmAgTe3Pb | PBE | optimized geometry

a b c (Å): 4.420 9.102 9.994
angles (deg): 103.97 90.00 90.00
Fractional positions:
Pm 0.250 0.678 0.175
Pm 0.750 0.322 0.825
Ag 0.250 0.084 0.583
Ag 0.750 0.916 0.417
Te 0.750 0.909 0.129
Te 0.250 0.091 0.871
Te 0.250 0.748 0.497
Te 0.750 0.252 0.503
Te 0.750 0.426 0.157
Te 0.250 0.574 0.843
Pb 0.250 0.190 0.242
Pb 0.750 0.810 0.758

Properties
The value obtained for the raw formation energy is -0.74 eV/atom. The value obtained for the total magnetic moment is 0.00 μB/cell. For the uncorrected energy, the calculation gives -50.3 eV/cell. The volume is 32.51 A^3/atom.

---

Please write out number 2 again, unchanged.
PmAgTe3Pb | PBE | optimized geometry

a b c (Å): 4.420 9.102 9.994
angles (deg): 103.97 90.00 90.00
Fractional positions:
Pm 0.250 0.678 0.175
Pm 0.750 0.322 0.825
Ag 0.250 0.084 0.583
Ag 0.750 0.916 0.417
Te 0.750 0.909 0.129
Te 0.250 0.091 0.871
Te 0.250 0.748 0.497
Te 0.750 0.252 0.503
Te 0.750 0.426 0.157
Te 0.250 0.574 0.843
Pb 0.250 0.190 0.242
Pb 0.750 0.810 0.758

Properties
The value obtained for the raw formation energy is -0.74 eV/atom. The value obtained for the total magnetic moment is 0.00 μB/cell. For the uncorrected energy, the calculation gives -50.3 eV/cell. The volume is 32.51 A^3/atom.

---

Question: What is the total magnetic moment in the second record?
Answer: 0.00 μB/cell